one.
## Pr2ErGa (PBE-GGA)

Data for a geometry-optimized Pr2ErGa structure.

Density of states at the Fermi level ... 5.7 states/eV/cell

Geometry as CIF:
```
data_Pr2ErGa
_chemical_formula_sum 'Pr2 Er1 Ga1'
_cell_length_a 4.823
_cell_length_b 4.823
_cell_length_c 4.872
_cell_angle_alpha 90.00
_cell_angle_beta 90.00
_cell_angle_gamma 90.00
_symmetry_space_group_name_H-M 'P 4/m m m'
_symmetry_Int_Tables_number 123
_symmetry_space_group_name_Hall '-P 4 2'
loop_
_atom_site_label
_atom_site_type_symbol
_atom_site_fract_x
_atom_site_fract_y
_atom_site_fract_z
Pr1 Pr 0.000 0.500 0.000
Er1 Er 0.000 0.000 0.500
Ga1 Ga 0.500 0.500 0.500
```

two.
## Pr2ErGa (PBE-GGA)

Data for a geometry-optimized Pr2ErGa structure.

Density of states at the Fermi level ... 12.9 states/eV/cell

Geometry as CIF:
```
data_Pr2ErGa
_chemical_formula_sum 'Pr6 Er3 Ga3'
_cell_length_a 3.5476
_cell_length_b 3.5476
_cell_length_c 35.9605
_cell_angle_alpha 90.00
_cell_angle_beta 90.00
_cell_angle_gamma 120.00
_symmetry_space_group_name_H-M 'R -3 m'
_symmetry_Int_Tables_number 166
_symmetry_space_group_name_Hall '-R 3 2"'
loop_
_atom_site_label
_atom_site_type_symbol
_atom_site_fract_x
_atom_site_fract_y
_atom_site_fract_z
Pr1 Pr 0.0000 0.0000 0.0863
Er1 Er 0.0000 0.0000 0.5000
Ga1 Ga 0.0000 0.0000 0.0000
```

Relative energy table, unit eV/atom: one 0.000; two 0.379

one.
## Pr3ErGa2 (PBE-GGA)

Data for a geometry-optimized Pr3ErGa2 structure.

Density of states at the Fermi level ... 12.6 states/eV/cell

Geometry as CIF:
```
data_Pr3ErGa2
_chemical_formula_sum 'Pr6 Er2 Ga4'
_cell_length_a 5.168
_cell_length_b 9.761
_cell_length_c 6.679
_cell_angle_alpha 90.00
_cell_angle_beta 90.00
_cell_angle_gamma 90.00
_symmetry_space_group_name_H-M 'P m c 21'
_symmetry_Int_Tables_number 26
_symmetry_space_group_name_Hall 'P 2c -2'
loop_
_atom_site_label
_atom_site_type_symbol
_atom_site_fract_x
_atom_site_fract_y
_atom_site_fract_z
Pr1 Pr 0.000 0.048 0.000
Pr2 Pr 0.000 0.337 0.334
Pr3 Pr 0.500 0.177 0.702
Er1 Er 0.500 0.444 0.034
Ga1 Ga 0.000 0.351 0.818
Ga2 Ga 0.500 0.151 0.225
```

two.
## Pr3ErGa2 (PBE-GGA)

Data for a geometry-optimized Pr3ErGa2 structure.

Density of states at the Fermi level ... 15.2 states/eV/cell

Geometry as CIF:
```
data_Pr3ErGa2
_chemical_formula_sum 'Pr12 Er4 Ga8'
_cell_length_a 16.711
_cell_length_b 5.167
_cell_length_c 8.093
_cell_angle_alpha 90.00
_cell_angle_beta 98.16
_cell_angle_gamma 90.00
_symmetry_space_group_name_H-M 'C 1 2/m 1'
_symmetry_Int_Tables_number 12
_symmetry_space_group_name_Hall '-C 2y'
loop_
_atom_site_label
_atom_site_type_symbol
_atom_site_fract_x
_atom_site_fract_y
_atom_site_fract_z
Pr1 Pr 0.057 0.000 0.320
Pr2 Pr 0.121 0.500 0.032
Pr3 Pr 0.181 0.500 0.497
Er1 Er 0.165 0.000 0.780
Ga1 Ga 0.033 0.500 0.667
Ga2 Ga 0.219 0.000 0.164
```

Relative energy table, unit eV/atom: one 0.000; two 0.035

one.
## PrEr3Ga2 (PBE-GGA)

Data for a geometry-optimized PrEr3Ga2 structure.

Density of states at the Fermi level ... 10.7 states/eV/cell

Geometry as CIF:
```
data_PrEr3Ga2
_chemical_formula_sum 'Pr2 Er6 Ga4'
_cell_length_a 4.928
_cell_length_b 9.565
_cell_length_c 6.631
_cell_angle_alpha 90.00
_cell_angle_beta 90.00
_cell_angle_gamma 90.00
_symmetry_space_group_name_H-M 'P m c 21'
_symmetry_Int_Tables_number 26
_symmetry_space_group_name_Hall 'P 2c -2'
loop_
_atom_site_label
_atom_site_type_symbol
_atom_site_fract_x
_atom_site_fract_y
_atom_site_fract_z
Pr1 Pr 0.000 0.050 0.000
Er1 Er 0.000 0.325 0.622
Er2 Er 0.500 0.191 0.289
Er3 Er 0.500 0.446 0.919
Ga1 Ga 0.000 0.366 0.169
Ga2 Ga 0.500 0.143 0.740
```

two.
## PrEr3Ga2 (PBE-GGA)

Data for a geometry-optimized PrEr3Ga2 structure.

Density of states at the Fermi level ... 20.2 states/eV/cell

Geometry as CIF:
```
data_PrEr3Ga2
_chemical_formula_sum 'Pr4 Er12 Ga8'
_cell_length_a 16.010
_cell_length_b 5.119
_cell_length_c 8.825
_cell_angle_alpha 90.00
_cell_angle_beta 117.22
_cell_angle_gamma 90.00
_symmetry_space_group_name_H-M 'C 1 2/m 1'
_symmetry_Int_Tables_number 12
_symmetry_space_group_name_Hall '-C 2y'
loop_
_atom_site_label
_atom_site_type_symbol
_atom_site_fract_x
_atom_site_fract_y
_atom_site_fract_z
Pr1 Pr 0.131 0.000 0.189
Er1 Er 0.064 0.000 0.716
Er2 Er 0.120 0.500 0.509
Er3 Er 0.188 0.500 0.988
Ga1 Ga 0.011 0.500 0.150
Ga2 Ga 0.224 0.000 0.615
```

Relative energy table, unit eV/atom: one 0.000; two 0.079

one.
## PrEr2Ga6 (PBE-GGA)

Data for a geometry-optimized PrEr2Ga6 structure.

Density of states at the Fermi level ... 5.7 states/eV/cell

Geometry as CIF:
```
data_PrEr2Ga6
_chemical_formula_sum 'Pr1 Er2 Ga6'
_cell_length_a 7.3214
_cell_length_b 7.3214
_cell_length_c 4.1724
_cell_angle_alpha 90.00
_cell_angle_beta 90.00
_cell_angle_gamma 120.00
_symmetry_space_group_name_H-M 'P 6/m m m'
_symmetry_Int_Tables_number 191
_symmetry_space_group_name_Hall '-P 6 2'
loop_
_atom_site_label
_atom_site_type_symbol
_atom_site_fract_x
_atom_site_fract_y
_atom_site_fract_z
Pr1 Pr 0.0000 0.0000 0.0000
Er1 Er 0.3333 0.6667 0.0000
Ga1 Ga 0.0000 0.3353 0.5000
```

two.
## PrEr2Ga6 (PBE-GGA)

Data for a geometry-optimized PrEr2Ga6 structure.

Density of states at the Fermi level ... 7.8 states/eV/cell

Geometry as CIF:
```
data_PrEr2Ga6
_chemical_formula_sum 'Pr2 Er4 Ga12'
_cell_length_a 4.336
_cell_length_b 7.119
_cell_length_c 13.129
_cell_angle_alpha 90.00
_cell_angle_beta 90.00
_cell_angle_gamma 90.00
_symmetry_space_group_name_H-M 'I m m m'
_symmetry_Int_Tables_number 71
_symmetry_space_group_name_Hall '-I 2 2'
loop_
_atom_site_label
_atom_site_type_symbol
_atom_site_fract_x
_atom_site_fract_y
_atom_site_fract_z
Pr1 Pr 0.000 0.000 0.000
Er1 Er 0.000 0.500 0.126
Ga1 Ga 0.000 0.181 0.500
Ga2 Ga 0.000 0.304 0.314
```

Relative energy table, unit eV/atom: one 0.000; two 0.135

one.
## Pr2ErGa6 (PBE-GGA)

Data for a geometry-optimized Pr2ErGa6 structure.

Density of states at the Fermi level ... 11.6 states/eV/cell

Geometry as CIF:
```
data_Pr2ErGa6
_chemical_formula_sum 'Pr4 Er2 Ga12'
_cell_length_a 4.392
_cell_length_b 7.125
_cell_length_c 13.752
_cell_angle_alpha 90.00
_cell_angle_beta 90.00
_cell_angle_gamma 90.00
_symmetry_space_group_name_H-M 'I m m m'
_symmetry_Int_Tables_number 71
_symmetry_space_group_name_Hall '-I 2 2'
loop_
_atom_site_label
_atom_site_type_symbol
_atom_site_fract_x
_atom_site_fract_y
_atom_site_fract_z
Pr1 Pr 0.000 0.000 0.131
Er1 Er 0.000 0.500 0.000
Ga1 Ga 0.000 0.184 0.325
Ga2 Ga 0.000 0.306 0.500
```

two.
## Pr2ErGa6 (PBE-GGA)

Data for a geometry-optimized Pr2ErGa6 structure.

Density of states at the Fermi level ... 5.7 states/eV/cell

Geometry as CIF:
```
data_Pr2ErGa6
_chemical_formula_sum 'Pr2 Er1 Ga6'
_cell_length_a 7.3807
_cell_length_b 7.3807
_cell_length_c 4.2646
_cell_angle_alpha 90.00
_cell_angle_beta 90.00
_cell_angle_gamma 120.00
_symmetry_space_group_name_H-M 'P 6/m m m'
_symmetry_Int_Tables_number 191
_symmetry_space_group_name_Hall '-P 6 2'
loop_
_atom_site_label
_atom_site_type_symbol
_atom_site_fract_x
_atom_site_fract_y
_atom_site_fract_z
Pr1 Pr 0.3333 0.6667 0.0000
Er1 Er 0.0000 0.0000 0.0000
Ga1 Ga 0.0000 0.3314 0.5000
```

Relative energy table, unit eV/atom: one 0.247; two 0.000

one.
## PrErGaPt (PBE-GGA)

Data for a geometry-optimized PrErGaPt structure.

Density of states at the Fermi level ... 7.0 states/eV/cell

Geometry as CIF:
```
data_PrErGaPt
_chemical_formula_sum 'Pr2 Er2 Ga2 Pt2'
_cell_length_a 4.343
_cell_length_b 3.878
_cell_length_c 11.426
_cell_angle_alpha 90.00
_cell_angle_beta 90.00
_cell_angle_gamma 90.00
_symmetry_space_group_name_H-M 'A m m 2'
_symmetry_Int_Tables_number 38
_symmetry_space_group_name_Hall 'A 2 -2'
loop_
_atom_site_label
_atom_site_type_symbol
_atom_site_fract_x
_atom_site_fract_y
_atom_site_fract_z
Pr1 Pr 0.000 0.000 0.000
Er1 Er 0.500 0.000 0.714
Ga1 Ga 0.500 0.000 0.418
Pt1 Pt 0.000 0.000 0.269
```

two.
## PrErGaPt (PBE-GGA)

Data for a geometry-optimized PrErGaPt structure.

Density of states at the Fermi level ... 12.7 states/eV/cell

Geometry as CIF:
```
data_PrErGaPt
_chemical_formula_sum 'Pr4 Er4 Ga4 Pt4'
_cell_length_a 7.206
_cell_length_b 7.206
_cell_length_c 7.206
_cell_angle_alpha 90.00
_cell_angle_beta 90.00
_cell_angle_gamma 90.00
_symmetry_space_group_name_H-M 'F -4 3 m'
_symmetry_Int_Tables_number 216
_symmetry_space_group_name_Hall 'F -4 2 3'
loop_
_atom_site_label
_atom_site_type_symbol
_atom_site_fract_x
_atom_site_fract_y
_atom_site_fract_z
Pr1 Pr 0.000 0.000 0.000
Er1 Er 0.000 0.000 0.500
Ga1 Ga 0.250 0.250 0.750
Pt1 Pt 0.250 0.250 0.250
```

Relative energy table, unit eV/atom: one 0.000; two 0.100

one.
## PrErGaRu (PBE-GGA)

Data for a geometry-optimized PrErGaRu structure.

Density of states at the Fermi level ... 9.7 states/eV/cell

Geometry as CIF:
```
data_PrErGaRu
_chemical_formula_sum 'Pr4 Er4 Ga4 Ru4'
_cell_length_a 7.099
_cell_length_b 7.099
_cell_length_c 7.099
_cell_angle_alpha 90.00
_cell_angle_beta 90.00
_cell_angle_gamma 90.00
_symmetry_space_group_name_H-M 'F -4 3 m'
_symmetry_Int_Tables_number 216
_symmetry_space_group_name_Hall 'F -4 2 3'
loop_
_atom_site_label
_atom_site_type_symbol
_atom_site_fract_x
_atom_site_fract_y
_atom_site_fract_z
Pr1 Pr 0.000 0.000 0.000
Er1 Er 0.000 0.000 0.500
Ga1 Ga 0.250 0.250 0.750
Ru1 Ru 0.250 0.250 0.250
```

two.
## PrErGaRu (PBE-GGA)

Data for a geometry-optimized PrErGaRu structure.

Density of states at the Fermi level ... 9.0 states/eV/cell

Geometry as CIF:
```
data_PrErGaRu
_chemical_formula_sum 'Pr2 Er2 Ga2 Ru2'
_cell_length_a 3.896
_cell_length_b 4.413
_cell_length_c 10.962
_cell_angle_alpha 90.00
_cell_angle_beta 90.00
_cell_angle_gamma 90.00
_symmetry_space_group_name_H-M 'A m m 2'
_symmetry_Int_Tables_number 38
_symmetry_space_group_name_Hall 'A 2 -2'
loop_
_atom_site_label
_atom_site_type_symbol
_atom_site_fract_x
_atom_site_fract_y
_atom_site_fract_z
Pr1 Pr 0.000 0.000 0.000
Er1 Er 0.500 0.000 0.714
Ga1 Ga 0.500 0.000 0.406
Ru1 Ru 0.000 0.000 0.254
```

Relative energy table, unit eV/atom: one 0.069; two 0.000

one.
## PrErTlGa (PBE-GGA)

Data for a geometry-optimized PrErTlGa structure.

Density of states at the Fermi level ... 7.4 states/eV/cell

Geometry as CIF:
```
data_PrErTlGa
_chemical_formula_sum 'Pr4 Er4 Tl4 Ga4'
_cell_length_a 7.510
_cell_length_b 7.510
_cell_length_c 7.510
_cell_angle_alpha 90.00
_cell_angle_beta 90.00
_cell_angle_gamma 90.00
_symmetry_space_group_name_H-M 'F -4 3 m'
_symmetry_Int_Tables_number 216
_symmetry_space_group_name_Hall 'F -4 2 3'
loop_
_atom_site_label
_atom_site_type_symbol
_atom_site_fract_x
_atom_site_fract_y
_atom_site_fract_z
Pr1 Pr 0.000 0.000 0.000
Er1 Er 0.000 0.000 0.500
Tl1 Tl 0.250 0.250 0.250
Ga1 Ga 0.250 0.250 0.750
```

two.
## PrErTlGa (PBE-GGA)

Data for a geometry-optimized PrErTlGa structure.

Density of states at the Fermi level ... 2.1 states/eV/cell

Geometry as CIF:
```
data_PrErTlGa
_chemical_formula_sum 'Pr1 Er1 Tl1 Ga1'
_cell_length_a 3.687
_cell_length_b 3.687
_cell_length_c 7.711
_cell_angle_alpha 90.00
_cell_angle_beta 90.00
_cell_angle_gamma 90.00
_symmetry_space_group_name_H-M 'P 4 m m'
_symmetry_Int_Tables_number 99
_symmetry_space_group_name_Hall 'P 4 -2'
loop_
_atom_site_label
_atom_site_type_symbol
_atom_site_fract_x
_atom_site_fract_y
_atom_site_fract_z
Pr1 Pr 0.000 0.000 0.000
Er1 Er 0.000 0.000 0.465
Tl1 Tl 0.500 0.500 0.715
Ga1 Ga 0.500 0.500 0.249
```

Relative energy table, unit eV/atom: one 0.040; two 0.000